## P
# Te2RuW, optimized geometry, DFT PBE-GGA
# - Size of the total moment: 0.00 μB per cell
data_Te2RuW
_chemical_formula_sum 'Te6 Ru3 W3'
_cell_length_a 3.2012
_cell_length_b 3.2012
_cell_length_c 31.0358
_cell_angle_alpha 90.00
_cell_angle_beta 90.00
_cell_angle_gamma 120.00
_space_group_name_H-M_alt 'R 3 m'
_space_group_IT_number 160
_space_group_name_Hall 'R 3 -2"'
loop_
_atom_site_label
_atom_site_type_symbol
_atom_site_fract_x
_atom_site_fract_y
_atom_site_fract_z
Te1 Te 0.0000 0.0000 0.0000
Te2 Te 0.0000 0.0000 0.1958
Ru1 Ru 0.0000 0.0000 0.4648
W1 W 0.0000 0.0000 0.7310

## Q
# Te2RuW, optimized geometry, DFT PBE-GGA
# - Size of the total moment: 0.00 μB per cell
data_Te2RuW
_chemical_formula_sum 'Te4 Ru2 W2'
_cell_length_a 6.501
_cell_length_b 8.804
_cell_length_c 3.062
_cell_angle_alpha 90.00
_cell_angle_beta 114.70
_cell_angle_gamma 90.00
_space_group_name_H-M_alt 'C 1 2/m 1'
_space_group_IT_number 12
loop_
_space_group_symop_operation_xyz
'x,y,z'
'-x,-y,-z'
'-x,y,-z'
'x,-y,z'
'x+1/2,y+1/2,z'
'-x+1/2,-y+1/2,-z'
'-x+1/2,y+1/2,-z'
'x+1/2,-y+1/2,z'
loop_
_atom_site_label
_atom_site_type_symbol
_atom_site_fract_x
_atom_site_fract_y
_atom_site_fract_z
Te1 Te 0.250 0.250 0.000
Ru1 Ru 0.000 0.000 0.000
W1 W 0.000 0.500 0.000

Which one sits at the bottom of the stability order? Q does.

## P
# Te2RuW, optimized geometry, DFT PBE-GGA
# - Size of the total moment: 3.31 μB per cell
data_Te2RuW
_chemical_formula_sum 'Te8 Ru4 W4'
_cell_length_a 6.031
_cell_length_b 6.031
_cell_length_c 11.837
_cell_angle_alpha 90.00
_cell_angle_beta 90.00
_cell_angle_gamma 90.00
_space_group_name_H-M_alt 'I -4 2 d'
_space_group_IT_number 122
_space_group_name_Hall 'I -4 2bw'
loop_
_atom_site_label
_atom_site_type_symbol
_atom_site_fract_x
_atom_site_fract_y
_atom_site_fract_z
Te1 Te 0.240 0.250 0.125
Ru1 Ru 0.000 0.000 0.000
W1 W 0.000 0.000 0.500

## Q
# Te2RuW, optimized geometry, DFT PBE-GGA
# - Size of the total moment: 0.00 μB per cell
data_Te2RuW
_chemical_formula_sum 'Te2 Ru1 W1'
_cell_length_a 3.279
_cell_length_b 4.404
_cell_length_c 5.475
_cell_angle_alpha 90.00
_cell_angle_beta 90.00
_cell_angle_gamma 90.00
_space_group_name_H-M_alt 'P m m m'
_space_group_IT_number 47
loop_
_space_group_symop_operation_xyz
'x,y,z'
'-x,-y,-z'
'-x,-y,z'
'x,y,-z'
'x,-y,-z'
'-x,y,z'
'-x,y,-z'
'x,-y,z'
loop_
_atom_site_label
_atom_site_type_symbol
_atom_site_fract_x
_atom_site_fract_y
_atom_site_fract_z
Te1 Te 0.000 0.000 0.000
Te2 Te 0.500 0.000 0.500
Ru1 Ru 0.000 0.500 0.500
W1 W 0.500 0.500 0.000

## R
# Te2RuW, optimized geometry, DFT PBE-GGA
# - Size of the total moment: 1.37 μB per cell
data_Te2RuW
_chemical_formula_sum 'Te4 Ru2 W2'
_cell_length_a 4.002
_cell_length_b 4.002
_cell_length_c 9.575
_cell_angle_alpha 90.00
_cell_angle_beta 90.00
_cell_angle_gamma 90.00
_space_group_name_H-M_alt 'I -4 m 2'
_space_group_IT_number 119
_space_group_name_Hall 'I -4 -2'
loop_
_atom_site_label
_atom_site_type_symbol
_atom_site_fract_x
_atom_site_fract_y
_atom_site_fract_z
Te1 Te 0.000 0.000 0.000
Te2 Te 0.000 0.500 0.250
Ru1 Ru 0.000 0.000 0.500
W1 W 0.000 0.500 0.750

Which one sits at the bottom of the stability order? Q does.

## P
# Te2RuW, optimized geometry, DFT PBE-GGA
# - Size of the total moment: 0.00 μB per cell
data_Te2RuW
_chemical_formula_sum 'Te8 Ru4 W4'
_cell_length_a 6.659
_cell_length_b 6.659
_cell_length_c 6.659
_cell_angle_alpha 90.00
_cell_angle_beta 90.00
_cell_angle_gamma 90.00
_space_group_name_H-M_alt 'F m -3 m'
_space_group_IT_number 225
_space_group_name_Hall '-F 4 2 3'
loop_
_atom_site_label
_atom_site_type_symbol
_atom_site_fract_x
_atom_site_fract_y
_atom_site_fract_z
Te1 Te 0.250 0.250 0.250
Ru1 Ru 0.000 0.000 0.000
W1 W 0.000 0.000 0.500

## Q
# Te2RuW, optimized geometry, DFT PBE-GGA
# - Size of the total moment: 0.00 μB per cell
data_Te2RuW
_chemical_formula_sum 'Te2 Ru1 W1'
_cell_length_a 3.994
_cell_length_b 3.845
_cell_length_c 6.808
_cell_angle_alpha 90.00
_cell_angle_beta 94.61
_cell_angle_gamma 90.00
_space_group_name_H-M_alt 'P 1 m 1'
_space_group_IT_number 6
loop_
_space_group_symop_operation_xyz
'x,y,z'
'x,-y,z'
loop_
_atom_site_label
_atom_site_type_symbol
_atom_site_fract_x
_atom_site_fract_y
_atom_site_fract_z
Te1 Te 0.000 0.000 0.000
Te2 Te 0.411 0.500 0.559
Ru1 Ru 0.908 0.500 0.275
W1 W 0.500 0.000 0.282

Which one sits at the bottom of the stability order? P does.

## P
# TeRuW3, optimized geometry, DFT PBE-GGA
# - Size of the total moment: 0.00 μB per cell
data_TeRuW3
_chemical_formula_sum 'Te1 Ru1 W3'
_cell_length_a 4.755
_cell_length_b 4.755
_cell_length_c 4.755
_cell_angle_alpha 90.00
_cell_angle_beta 90.00
_cell_angle_gamma 90.00
_space_group_name_H-M_alt 'P m -3 m'
_space_group_IT_number 221
_space_group_name_Hall '-P 4 2 3'
loop_
_atom_site_label
_atom_site_type_symbol
_atom_site_fract_x
_atom_site_fract_y
_atom_site_fract_z
Te1 Te 0.000 0.000 0.000
Ru1 Ru 0.500 0.500 0.500
W1 W 0.000 0.500 0.500

## Q
# TeRuW3, optimized geometry, DFT PBE-GGA
# - Size of the total moment: 0.00 μB per cell
data_TeRuW3
_chemical_formula_sum 'Te1 Ru1 W3'
_cell_length_a 4.797
_cell_length_b 4.797
_cell_length_c 4.797
_cell_angle_alpha 90.00
_cell_angle_beta 90.00
_cell_angle_gamma 90.00
_space_group_name_H-M_alt 'P m -3 m'
_space_group_IT_number 221
_space_group_name_Hall '-P 4 2 3'
loop_
_atom_site_label
_atom_site_type_symbol
_atom_site_fract_x
_atom_site_fract_y
_atom_site_fract_z
Te1 Te 0.000 0.000 0.000
Ru1 Ru 0.500 0.500 0.500
W1 W 0.000 0.000 0.500

Which one sits at the bottom of the stability order? Q does.

## P
# Y4TeRu, optimized geometry, DFT PBE-GGA
# - Size of the total moment: 6.76 μB per cell
data_Y4TeRu
_chemical_formula_sum 'Y16 Te4 Ru4'
_cell_length_a 8.643
_cell_length_b 8.643
_cell_length_c 8.643
_cell_angle_alpha 90.00
_cell_angle_beta 90.00
_cell_angle_gamma 90.00
_space_group_name_H-M_alt 'F -4 3 m'
_space_group_IT_number 216
_space_group_name_Hall 'F -4 2 3'
loop_
_atom_site_label
_atom_site_type_symbol
_atom_site_fract_x
_atom_site_fract_y
_atom_site_fract_z
Y1 Y 0.124 0.124 0.124
Te1 Te 0.000 0.000 0.500
Ru1 Ru 0.250 0.250 0.750

## Q
# Y4TeRu, optimized geometry, DFT PBE-GGA
# - Size of the total moment: 0.00 μB per cell
data_Y4TeRu
_chemical_formula_sum 'Y16 Te4 Ru4'
_cell_length_a 9.154
_cell_length_b 14.334
_cell_length_c 6.811
_cell_angle_alpha 90.00
_cell_angle_beta 125.11
_cell_angle_gamma 90.00
_space_group_name_H-M_alt 'C 1 2/c 1'
_space_group_IT_number 15
loop_
_space_group_symop_operation_xyz
'x,y,z'
'-x,-y,-z'
'-x,y,-z+1/2'
'x,-y,z+1/2'
'x+1/2,y+1/2,z'
'-x+1/2,-y+1/2,-z'
'-x+1/2,y+1/2,-z+1/2'
'x+1/2,-y+1/2,z+1/2'
loop_
_atom_site_label
_atom_site_type_symbol
_atom_site_fract_x
_atom_site_fract_y
_atom_site_fract_z
Y1 Y 0.145 0.211 0.141
Y2 Y 0.222 0.043 0.729
Te1 Te 0.000 0.383 0.750
Ru1 Ru 0.000 0.079 0.250

## R
# Y4TeRu, optimized geometry, DFT PBE-GGA
# - Size of the total moment: 0.00 μB per cell
data_Y4TeRu
_chemical_formula_sum 'Y16 Te4 Ru4'
_cell_length_a 8.133
_cell_length_b 4.043
_cell_length_c 19.483
_cell_angle_alpha 90.00
_cell_angle_beta 90.00
_cell_angle_gamma 90.00
_space_group_name_H-M_alt 'P n m a'
_space_group_IT_number 62
loop_
_space_group_symop_operation_xyz
'x,y,z'
'-x,-y,-z'
'-x+1/2,-y,z+1/2'
'x+1/2,y,-z+1/2'
'x+1/2,-y+1/2,-z+1/2'
'-x+1/2,y+1/2,z+1/2'
'-x,y+1/2,-z'
'x,-y+1/2,z'
loop_
_atom_site_label
_atom_site_type_symbol
_atom_site_fract_x
_atom_site_fract_y
_atom_site_fract_z
Y1 Y 0.001 0.250 0.068
Y2 Y 0.045 0.750 0.215
Y3 Y 0.138 0.750 0.644
Y4 Y 0.142 0.750 0.453
Te1 Te 0.244 0.250 0.309
Ru1 Ru 0.245 0.250 0.550

Which one sits at the bottom of the stability order? P does.